{
  "formula": "Np2Ga4Ir5",
  "functional": "PBE",
  "state": "relaxed",
  "lattice": [[5.6635, 0.0000, 0.0000], [2.8318, 4.7201, 0.0000], [2.8318, 0.0000, 7.5755]],
  "species": ["Np", "Ga", "Ir", "Np", "Ir", "Ga", "Ga", "Ga", "Ir", "Ir", "Ir"],
  "fractional_positions": [[0.1153, 0.0000, 0.7694], [0.2133, 0.3101, 0.2633], [0.7500, 0.5000, 0.5000], [0.8847, 0.0000, 0.2306], [0.2500, 0.5000, 0.5000], [0.7867, 0.6899, 0.7367], [0.4766, 0.3101, 0.7367], [0.5234, 0.6899, 0.2633], [0.0000, 0.5000, 0.0000], [0.5000, 0.0000, 0.0000], [0.5000, 0.5000, 0.0000]],
  "delta_e_f_ev_per_atom": -0.3148,
  "e_tot_ev_per_atom": -7.80
}

{
  "formula": "Np2Ga5Ir4",
  "functional": "PBE",
  "state": "relaxed",
  "lattice": [[2.8905, 0.0000, 0.0000], [0.0000, 7.7796, 0.3016], [-1.4452, -1.5465, 8.4066]],
  "species": ["Np", "Ga", "Ga", "Ir", "Ir", "Np", "Ir", "Ga", "Ga", "Ga", "Ir"],
  "fractional_positions": [[0.4389, 0.3856, 0.8778], [0.3077, 0.5954, 0.6154], [0.6923, 0.4046, 0.3846], [0.9226, 0.7572, 0.8453], [0.7122, 0.7491, 0.4244], [0.5611, 0.6144, 0.1222], [0.0774, 0.2428, 0.1547], [0.3291, 0.9541, 0.6581], [0.5000, 0.0000, 0.0000], [0.6709, 0.0459, 0.3419], [0.2878, 0.2509, 0.5756]],
  "delta_e_f_ev_per_atom": -0.2402,
  "e_tot_ev_per_atom": -7.19
}

{
  "formula": "Np3Ga4Ir4",
  "functional": "PBE",
  "state": "relaxed",
  "lattice": [[-3.4011, -1.3575, 1.1282], [2.1162, -7.0515, -2.1052], [3.2175, 3.0679, 6.8842]],
  "species": ["Ir", "Ga", "Np", "Np", "Ga", "Ga", "Np", "Ir", "Ga", "Ir", "Ir"],
  "fractional_positions": [[0.7673, 0.2673, 0.5345], [0.6772, 0.4792, 0.3544], [0.1087, 0.1087, 0.2174], [0.8913, 0.8913, 0.7826], [0.6772, 0.8752, 0.3544], [0.3228, 0.5208, 0.6456], [0.0000, 0.5000, 0.0000], [0.5000, 0.7726, 0.0000], [0.3228, 0.1248, 0.6456], [0.2327, 0.7327, 0.4655], [0.5000, 0.2274, 0.0000]],
  "delta_e_f_ev_per_atom": -0.4464,
  "e_tot_ev_per_atom": -8.30
}

{
  "formula": "NpGa4Ir2",
  "functional": "PBE",
  "state": "relaxed",
  "lattice": [[-3.5501, 2.6068, 1.0181], [-4.5489, -5.2356, -2.4566], [-0.2375, -2.9537, 6.7348]],
  "species": ["Ga", "Ga", "Ir", "Ga", "Np", "Ga", "Ga", "Ir", "Ga", "Ga", "Np", "Ir", "Ga", "Ir"],
  "fractional_positions": [[0.5000, 0.4103, 0.8361], [0.0000, 0.6639, 0.9103], [0.0000, 0.2376, 0.7624], [0.5000, 0.1639, 0.5897], [0.5000, 0.0000, 0.0000], [0.0000, 0.3361, 0.0897], [0.5000, 0.8361, 0.4103], [0.5000, 0.2624, 0.2624], [0.0000, 0.0897, 0.3361], [0.0000, 0.9103, 0.6639], [0.0000, 0.5000, 0.5000], [0.0000, 0.7624, 0.2376], [0.5000, 0.5897, 0.1639], [0.5000, 0.7376, 0.7376]],
  "delta_e_f_ev_per_atom": -0.3743,
  "e_tot_ev_per_atom": -6.48,
  "relative_energy_ev_per_atom": 0.031
}

{
  "formula": "Np3Ga7Ir2",
  "functional": "PBE",
  "state": "relaxed",
  "lattice": [[4.0995, 0.0000, 0.0000], [0.0000, 4.2047, -0.0005], [0.0000, -2.1153, 13.5330]],
  "species": ["Ga", "Ga", "Ga", "Ga", "Np", "Ga", "Ga", "Ga", "Ir", "Ir", "Np", "Np"],
  "fractional_positions": [[0.0000, 0.5796, 0.1582], [0.0000, 0.4204, 0.8418], [0.0000, 0.0000, 0.0000], [0.5000, 0.9196, 0.8413], [0.0000, 0.1761, 0.3536], [0.5000, 0.7250, 0.4505], [0.5000, 0.2750, 0.5495], [0.5000, 0.0804, 0.1587], [0.5000, 0.6353, 0.2673], [0.5000, 0.3647, 0.7327], [0.0000, 0.8239, 0.6464], [0.5000, 0.5000, 0.0000]],
  "delta_e_f_ev_per_atom": -0.2751,
  "e_tot_ev_per_atom": -6.75
}

{
  "formula": "Np2Ga6Ir",
  "functional": "PBE",
  "state": "relaxed",
  "lattice": [[4.8763, 0.0000, -0.3920], [0.0000, 8.4854, 0.0000], [-2.6135, -4.2427, 4.2738]],
  "species": ["Ga", "Ga", "Ga", "Ga", "Np", "Ir", "Np", "Ga", "Ga"],
  "fractional_positions": [[0.5000, 0.1476, 0.0000], [0.0774, 0.8586, 0.2955], [0.9226, 0.1414, 0.7045], [0.5000, 0.8524, 0.0000], [0.5472, 0.6390, 0.2780], [0.0000, 0.0000, 0.0000], [0.4528, 0.3610, 0.7220], [0.9226, 0.5630, 0.7045], [0.0774, 0.4370, 0.2955]],
  "delta_e_f_ev_per_atom": -0.0953,
  "e_tot_ev_per_atom": -5.97
}